1.
ZnCuAg | PBEsol | optimized geometry

Computed properties:
The polymorph energy (0 for the lowest one) comes out at 19 meV per atom.

Lattice parameters (Å, degrees): 2.736 4.200 4.200 120.00 90.00 90.00
Fractional positions:
1 Cu 0.509 0.667 0.333
2 Ag 0.001 0.000 0.000
3 Zn 0.491 0.333 0.667

***

2.
LiTaBeRh2 | PBEsol | optimized geometry

Computed properties:
The total energy comes out at -5.921 eV per atom.

Lattice parameters (Å, degrees): 4.647 4.649 4.649 90.00 90.00 90.00
Fractional positions:
1 Rh 0.000 0.500 0.000
2 Be 0.500 0.000 0.000
3 Rh 0.000 0.000 0.500
4 Li 0.500 0.500 0.500
5 Ta 0.000 0.000 0.000

***

For each record above, in turn, the calculated ρ values are 9.4 6.7 g/cm³.